Entry from the Alexandria database: a relaxed PrTh2Pd7 crystal (GGA-PBE). Values from VASP.

Properties
Relative energy among the computed polymorphs = 0 meV/atom
Raw total energy = -6.258 eV/atom
ΔE_f = -0.661 eV/atom
Crystal system = orthorhombic
Density of states at the Fermi level = 8.03 states/eV per cell
V = 21.720 Å³ per atom

Geometry as Quantum ESPRESSO input:
```
&SYSTEM
  ibrav = 0, nat = 10, ntyp = 3
/
ATOMIC_SPECIES
Pd 106.42 Pd.upf
Th 232.04 Th.upf
Pr 140.91 Pr.upf
CELL_PARAMETERS angstrom
-4.5020 1.8658 1.9151
-1.6876 -2.7392 4.1310
7.4666 5.6226 2.2016
ATOMIC_POSITIONS crystal
Pd 0.5000 0.5000 0.0000
Pd 0.7500 0.2500 0.5000
Pd 0.5854 0.0854 0.1707
Pd 0.0854 0.5854 0.1707
Pd 0.9146 0.4146 0.8293
Pd 0.4146 0.9146 0.8293
Pd 0.2500 0.7500 0.5000
Th 0.6692 0.6692 0.3384
Th 0.3308 0.3308 0.6616
Pr 0.0000 0.0000 0.0000
```

Entry from the Alexandria database: a relaxed PrThPd2 crystal (GGA-PBE). Values from VASP.

Properties
Relative energy among the computed polymorphs = 106 meV/atom
Raw total energy = -6.317 eV/atom
ΔE_f = -0.671 eV/atom
Crystal system = monoclinic
Density of states at the Fermi level = 6.81 states/eV per cell
V = 26.664 Å³ per atom

Geometry as Quantum ESPRESSO input:
```
&SYSTEM
  ibrav = 0, nat = 16, ntyp = 3
/
ATOMIC_SPECIES
Pd 106.42 Pd.upf
Th 232.04 Th.upf
Pr 140.91 Pr.upf
CELL_PARAMETERS angstrom
5.9779 0.0000 0.0000
0.0000 5.9735 0.2286
0.0000 -0.4578 11.9299
ATOMIC_POSITIONS crystal
Pd 0.7498 0.9998 0.8810
Pd 0.7505 0.0005 0.3690
Pd 0.2495 0.5005 0.8690
Pd 0.7498 0.5002 0.6190
Pd 0.2502 0.4998 0.3810
Pd 0.2495 0.9995 0.6310
Pd 0.2502 0.0002 0.1190
Pd 0.7505 0.4995 0.1310
Th 0.7502 0.5006 0.3750
Th 0.2498 0.0006 0.8750
Th 0.7502 0.9994 0.1250
Th 0.2498 0.4994 0.6250
Pr 0.7495 0.0002 0.6250
Pr 0.7495 0.4998 0.8750
Pr 0.2505 0.9998 0.3750
Pr 0.2505 0.5002 0.1250
```

Entry from the Alexandria database: a relaxed PrThPd2 crystal (GGA-PBE). Values from VASP.

Properties
Relative energy among the computed polymorphs = 117 meV/atom
Raw total energy = -6.306 eV/atom
ΔE_f = -0.660 eV/atom
Crystal system = cubic
Density of states at the Fermi level = 3.49 states/eV per cell
V = 24.055 Å³ per atom

Geometry as Quantum ESPRESSO input:
```
&SYSTEM
  ibrav = 0, nat = 4, ntyp = 3
/
ATOMIC_SPECIES
Pd 106.42 Pd.upf
Pr 140.91 Pr.upf
Th 232.04 Th.upf
CELL_PARAMETERS angstrom
-0.4682 -4.7264 -1.9742
-1.5418 -3.8934 2.9865
-4.6664 -2.0590 -0.6642
ATOMIC_POSITIONS crystal
Pd 0.2500 0.2500 0.2500
Pd 0.7500 0.7500 0.7500
Pr 0.5000 0.5000 0.5000
Th 0.0000 0.0000 0.0000
```

Entry from the Alexandria database: a relaxed Pr2ThPd2 crystal (GGA-PBE). Values from VASP.

Properties
Raw total energy = -6.073 eV/atom
ΔE_f = -0.600 eV/atom
Crystal system = monoclinic
Density of states at the Fermi level = 11.17 states/eV per cell
V = 27.838 Å³ per atom

Geometry as Quantum ESPRESSO input:
```
&SYSTEM
  ibrav = 0, nat = 10, ntyp = 3
/
ATOMIC_SPECIES
Th 232.04 Th.upf
Pr 140.91 Pr.upf
Pd 106.42 Pd.upf
CELL_PARAMETERS angstrom
6.3892 0.0000 0.0000
-3.1946 5.7795 -0.8834
0.0000 -0.3824 7.5973
ATOMIC_POSITIONS crystal
Th 0.8940 0.0000 0.2500
Th 0.1060 0.0000 0.7500
Pr 0.2362 0.6973 0.3491
Pr 0.5389 0.3027 0.1509
Pr 0.7638 0.3027 0.6509
Pr 0.4611 0.6973 0.8491
Pd 0.0136 0.2999 0.0080
Pd 0.2862 0.2999 0.5080
Pd 0.7138 0.7001 0.4920
Pd 0.9864 0.7001 0.9920
```

Entry from the Alexandria database: a relaxed PrTh3Pd12 crystal (GGA-PBE). Values from VASP.

Properties
Raw total energy = -6.493 eV/atom
ΔE_f = -0.909 eV/atom
Crystal system = tetragonal
Density of states at the Fermi level = 1.89 states/eV per cell
V = 18.782 Å³ per atom

Geometry as Quantum ESPRESSO input:
```
&SYSTEM
  ibrav = 0, nat = 16, ntyp = 3
/
ATOMIC_SPECIES
Pd 106.42 Pd.upf
Th 232.04 Th.upf
Pr 140.91 Pr.upf
CELL_PARAMETERS angstrom
4.2150 0.0000 0.0000
0.0000 4.2150 0.0000
0.0000 0.0000 16.9152
ATOMIC_POSITIONS crystal
Pd 0.5000 0.0000 0.8719
Pd 0.5000 0.0000 0.1281
Pd 0.5000 0.5000 0.2524
Pd 0.0000 0.5000 0.1281
Pd 0.0000 0.5000 0.6243
Pd 0.0000 0.5000 0.3757
Pd 0.5000 0.5000 0.0000
Pd 0.5000 0.5000 0.5000
Pd 0.0000 0.5000 0.8719
Pd 0.5000 0.0000 0.6243
Pd 0.5000 0.0000 0.3757
Pd 0.5000 0.5000 0.7476
Th 0.0000 0.0000 0.5000
Th 0.0000 0.0000 0.7520
Th 0.0000 0.0000 0.2480
Pr 0.0000 0.0000 0.0000
```

Entry from the Alexandria database: a relaxed PrThPd2 crystal (GGA-PBE). Values from VASP.

Properties
Relative energy among the computed polymorphs = 88 meV/atom
Raw total energy = -6.336 eV/atom
ΔE_f = -0.689 eV/atom
Crystal system = tetragonal
Density of states at the Fermi level = 3.84 states/eV per cell
V = 24.512 Å³ per atom

Geometry as Quantum ESPRESSO input:
```
&SYSTEM
  ibrav = 0, nat = 4, ntyp = 3
/
ATOMIC_SPECIES
Pr 140.91 Pr.upf
Pd 106.42 Pd.upf
Th 232.04 Th.upf
CELL_PARAMETERS angstrom
-1.9944 2.8556 1.1470
-2.0427 -0.2063 -3.0385
-4.5762 -4.5561 3.3857
ATOMIC_POSITIONS crystal
Pr 0.5000 0.5000 0.5000
Pd 0.0000 0.0000 0.2191
Pd 0.0000 0.0000 0.7809
Th 0.5000 0.5000 0.0000
```

| no. | M_tot (μB per formula unit) |
| --- | --- |
| 1 | 0.000 |
| 2 | 0.000 |
| 3 | 0.000 |
| 4 | 0.000 |
| 5 | 0.000 |
| 6 | 0.000 |